# 1
# PBE Li2AcAsO6, optimized geometry
data_Li2AcAsO6
_space_group_name_H-M_alt 'C 1 2/c 1'
_space_group_IT_number 15
_cell_length_a 10.477
_cell_length_b 9.899
_cell_length_c 6.828
_cell_angle_alpha 90.00
_cell_angle_beta 123.93
_cell_angle_gamma 90.00
loop_
_space_group_symop_operation_xyz
'x,y,z'
'-x,-y,-z'
'-x,y,-z+1/2'
'x,-y,z+1/2'
'x+1/2,y+1/2,z'
'-x+1/2,-y+1/2,-z'
'-x+1/2,y+1/2,-z+1/2'
'x+1/2,-y+1/2,z+1/2'
loop_
_atom_site_label
_atom_site_type_symbol
_atom_site_fract_x
_atom_site_fract_y
_atom_site_fract_z
Li1 Li 0.150 0.058 0.090
Ac1 Ac 0.000 0.324 0.250
As1 As 0.000 0.337 0.750
O1 O 0.087 0.083 0.336
O2 O 0.095 0.245 0.003
O3 O 0.122 0.442 0.721
# raw formation energy	-1.92	eV per atom
# D(E_F)	0.00	states/eV/f.u.


# 2
# PBE P2HOsS, optimized geometry
data_P2HOsS
_space_group_name_H-M_alt 'P 4/m m m'
_space_group_IT_number 123
_space_group_name_Hall '-P 4 2'
_cell_length_a 4.500
_cell_length_b 4.500
_cell_length_c 5.083
_cell_angle_alpha 90.00
_cell_angle_beta 90.00
_cell_angle_gamma 90.00
loop_
_atom_site_label
_atom_site_type_symbol
_atom_site_fract_x
_atom_site_fract_y
_atom_site_fract_z
P1 P 0.000 0.500 0.000
H1 H 0.000 0.000 0.500
Os1 Os 0.500 0.500 0.000
S1 S 0.500 0.500 0.500
# ΔE to the lowest computed polymorph	111	meV/atom
# D(E_F)	3.45	states/eV/f.u.


# 3
# PBE CuAu2Cl2, optimized geometry
data_CuAu2Cl2
_space_group_name_H-M_alt 'P 4/m b m'
_space_group_IT_number 127
_space_group_name_Hall '-P 4 2ab'
_cell_length_a 6.282
_cell_length_b 6.282
_cell_length_c 5.283
_cell_angle_alpha 90.00
_cell_angle_beta 90.00
_cell_angle_gamma 90.00
loop_
_atom_site_label
_atom_site_type_symbol
_atom_site_fract_x
_atom_site_fract_y
_atom_site_fract_z
Cu1 Cu 0.000 0.000 0.000
Au1 Au 0.163 0.337 0.500
Cl1 Cl 0.179 0.321 0.000
# ΔE to the lowest computed polymorph	0	meV/atom
# raw formation energy	0.13	eV per atom
# D(E_F)	1.34	states/eV/f.u.


# 4
# PBE SrZnSi2, optimized geometry
data_SrZnSi2
_space_group_name_H-M_alt 'P n m a'
_space_group_IT_number 62
_cell_length_a 14.180
_cell_length_b 4.293
_cell_length_c 10.937
_cell_angle_alpha 90.00
_cell_angle_beta 90.00
_cell_angle_gamma 90.00
loop_
_space_group_symop_operation_xyz
'x,y,z'
'-x,-y,-z'
'-x+1/2,-y,z+1/2'
'x+1/2,y,-z+1/2'
'x+1/2,-y+1/2,-z+1/2'
'-x+1/2,y+1/2,z+1/2'
'-x,y+1/2,-z'
'x,-y+1/2,z'
loop_
_atom_site_label
_atom_site_type_symbol
_atom_site_fract_x
_atom_site_fract_y
_atom_site_fract_z
Sr1 Sr 0.055 0.250 0.247
Sr2 Sr 0.200 0.750 0.514
Zn1 Zn 0.057 0.250 0.944
Zn2 Zn 0.201 0.750 0.811
Si1 Si 0.034 0.250 0.531
Si2 Si 0.111 0.250 0.721
Si3 Si 0.130 0.750 0.027
Si4 Si 0.217 0.750 0.220
# raw formation energy	-0.31	eV per atom
# D(E_F)	0.63	states/eV/f.u.


# 5
# PBE In2PtPb, optimized geometry
data_In2PtPb
_space_group_name_H-M_alt 'C m m m'
_space_group_IT_number 65
_space_group_name_Hall '-C 2 2'
_cell_length_a 6.245
_cell_length_b 8.475
_cell_length_c 3.527
_cell_angle_alpha 90.00
_cell_angle_beta 90.00
_cell_angle_gamma 90.00
loop_
_atom_site_label
_atom_site_type_symbol
_atom_site_fract_x
_atom_site_fract_y
_atom_site_fract_z
In1 In 0.250 0.250 0.000
Pt1 Pt 0.000 0.000 0.500
Pb1 Pb 0.000 0.500 0.500
# formation energy	29	kJ/mol of formula units
# D(E_F)	1.43	states/eV/f.u.


# 6
# PBE LaPr2Sm4, optimized geometry
data_LaPr2Sm4
_space_group_name_H-M_alt 'R -3 m'
_space_group_IT_number 166
_space_group_name_Hall '-R 3 2"'
_cell_length_a 3.6751
_cell_length_b 3.6751
_cell_length_c 62.7229
_cell_angle_alpha 90.00
_cell_angle_beta 90.00
_cell_angle_gamma 120.00
loop_
_atom_site_label
_atom_site_type_symbol
_atom_site_fract_x
_atom_site_fract_y
_atom_site_fract_z
La1 La 0.0000 0.0000 0.0000
Pr1 Pr 0.0000 0.0000 0.4288
Sm1 Sm 0.0000 0.0000 0.1433
Sm2 Sm 0.0000 0.0000 0.2854
# formation energy	6	kJ/mol of formula units
# D(E_F)	9.24	states/eV/f.u.


# 7
# PBE GePbBr4, optimized geometry
data_GePbBr4
_space_group_name_H-M_alt 'C 1 2/m 1'
_space_group_IT_number 12
_cell_length_a 17.939
_cell_length_b 5.890
_cell_length_c 10.065
_cell_angle_alpha 90.00
_cell_angle_beta 112.63
_cell_angle_gamma 90.00
loop_
_space_group_symop_operation_xyz
'x,y,z'
'-x,-y,-z'
'-x,y,-z'
'x,-y,z'
'x+1/2,y+1/2,z'
'-x+1/2,-y+1/2,-z'
'-x+1/2,y+1/2,-z'
'x+1/2,-y+1/2,z'
loop_
_atom_site_label
_atom_site_type_symbol
_atom_site_fract_x
_atom_site_fract_y
_atom_site_fract_z
Ge1 Ge 0.098 0.000 0.223
Pb1 Pb 0.216 0.000 0.801
Br1 Br 0.053 0.000 0.872
Br2 Br 0.112 0.000 0.485
Br3 Br 0.125 0.500 0.216
Br4 Br 0.219 0.500 0.861
# ΔE to the lowest computed polymorph	39	meV/atom
# raw formation energy	-0.69	eV per atom
# D(E_F)	0.00	states/eV/f.u.


# 8
# PBE MgTlSnSe3, optimized geometry
data_MgTlSnSe3
_space_group_name_H-M_alt 'P 1 21/m 1'
_space_group_IT_number 11
_cell_length_a 8.971
_cell_length_b 4.122
_cell_length_c 9.835
_cell_angle_alpha 90.00
_cell_angle_beta 104.41
_cell_angle_gamma 90.00
loop_
_space_group_symop_operation_xyz
'x,y,z'
'-x,-y,-z'
'-x,y+1/2,-z'
'x,-y+1/2,z'
loop_
_atom_site_label
_atom_site_type_symbol
_atom_site_fract_x
_atom_site_fract_y
_atom_site_fract_z
Mg1 Mg 0.086 0.250 0.113
Tl1 Tl 0.203 0.250 0.735
Sn1 Sn 0.333 0.750 0.377
Se1 Se 0.111 0.250 0.380
Se2 Se 0.208 0.750 0.027
Se3 Se 0.455 0.750 0.664
# raw formation energy	-0.62	eV per atom
# D(E_F)	2.71	states/eV/f.u.


# 9
# PBE OsAuO2F, optimized geometry
data_OsAuO2F
_space_group_name_H-M_alt 'P 4/m m m'
_space_group_IT_number 123
_space_group_name_Hall '-P 4 2'
_cell_length_a 4.133
_cell_length_b 4.133
_cell_length_c 4.291
_cell_angle_alpha 90.00
_cell_angle_beta 90.00
_cell_angle_gamma 90.00
loop_
_atom_site_label
_atom_site_type_symbol
_atom_site_fract_x
_atom_site_fract_y
_atom_site_fract_z
Os1 Os 0.000 0.000 0.000
Au1 Au 0.500 0.500 0.500
O1 O 0.000 0.500 0.500
F1 F 0.500 0.500 0.000
# raw formation energy	1.08	eV per atom
# D(E_F)	4.75	states/eV/f.u.


# 10
# PBE BiTe3Rh, optimized geometry
data_BiTe3Rh
_space_group_name_H-M_alt 'P m -3 m'
_space_group_IT_number 221
_space_group_name_Hall '-P 4 2 3'
_cell_length_a 5.857
_cell_length_b 5.857
_cell_length_c 5.857
_cell_angle_alpha 90.00
_cell_angle_beta 90.00
_cell_angle_gamma 90.00
loop_
_atom_site_label
_atom_site_type_symbol
_atom_site_fract_x
_atom_site_fract_y
_atom_site_fract_z
Bi1 Bi 0.000 0.000 0.000
Te1 Te 0.000 0.000 0.500
Rh1 Rh 0.500 0.500 0.500
# ΔE to the lowest computed polymorph	1016	meV/atom
# raw formation energy	1.22	eV per atom
# D(E_F)	9.79	states/eV/f.u.


# 11
# PBE Be2AuCl, optimized geometry
data_Be2AuCl
_space_group_name_H-M_alt 'P 4 m m'
_space_group_IT_number 99
_cell_length_a 3.204
_cell_length_b 3.204
_cell_length_c 7.354
_cell_angle_alpha 90.00
_cell_angle_beta 90.00
_cell_angle_gamma 90.00
loop_
_space_group_symop_operation_xyz
'x,y,z'
'-y,x,z'
'-x,-y,z'
'y,-x,z'
'-x,y,z'
'y,x,z'
'x,-y,z'
'-y,-x,z'
loop_
_atom_site_label
_atom_site_type_symbol
_atom_site_fract_x
_atom_site_fract_y
_atom_site_fract_z
Be1 Be 0.000 0.000 0.000
Be2 Be 0.500 0.500 0.260
Au1 Au 0.500 0.500 0.957
Cl1 Cl 0.000 0.000 0.386
# ΔE to the lowest computed polymorph	238	meV/atom
# raw formation energy	0.04	eV per atom
# D(E_F)	1.69	states/eV/f.u.


# 12
# PBE Sr3Hg2Ge4, optimized geometry
data_Sr3Hg2Ge4
_space_group_name_H-M_alt 'C 1 2/m 1'
_space_group_IT_number 12
_cell_length_a 12.119
_cell_length_b 4.523
_cell_length_c 9.062
_cell_angle_alpha 90.00
_cell_angle_beta 99.52
_cell_angle_gamma 90.00
loop_
_space_group_symop_operation_xyz
'x,y,z'
'-x,-y,-z'
'-x,y,-z'
'x,-y,z'
'x+1/2,y+1/2,z'
'-x+1/2,-y+1/2,-z'
'-x+1/2,y+1/2,-z'
'x+1/2,-y+1/2,z'
loop_
_atom_site_label
_atom_site_type_symbol
_atom_site_fract_x
_atom_site_fract_y
_atom_site_fract_z
Sr1 Sr 0.000 0.000 0.000
Sr2 Sr 0.159 0.500 0.671
Hg1 Hg 0.130 0.500 0.295
Ge1 Ge 0.043 0.000 0.382
Ge2 Ge 0.202 0.500 0.030
# formation energy	-418	kJ/mol of formula units
# D(E_F)	1.21	states/eV/f.u.


# 13
# PBE TcNi2S, optimized geometry
data_TcNi2S
_space_group_name_H-M_alt 'C 1 2/m 1'
_space_group_IT_number 12
_cell_length_a 5.436
_cell_length_b 7.750
_cell_length_c 4.694
_cell_angle_alpha 90.00
_cell_angle_beta 90.56
_cell_angle_gamma 90.00
loop_
_space_group_symop_operation_xyz
'x,y,z'
'-x,-y,-z'
'-x,y,-z'
'x,-y,z'
'x+1/2,y+1/2,z'
'-x+1/2,-y+1/2,-z'
'-x+1/2,y+1/2,-z'
'x+1/2,-y+1/2,z'
loop_
_atom_site_label
_atom_site_type_symbol
_atom_site_fract_x
_atom_site_fract_y
_atom_site_fract_z
Tc1 Tc 0.000 0.186 0.000
Ni1 Ni 0.135 0.500 0.795
Ni2 Ni 0.250 0.250 0.500
S1 S 0.246 0.000 0.718
# raw formation energy	-0.05	eV per atom
# D(E_F)	3.48	states/eV/f.u.


# 14
# PBE DyEr14Tm, optimized geometry
data_DyEr14Tm
_space_group_name_H-M_alt 'A m m 2'
_space_group_IT_number 38
_cell_length_a 10.962
_cell_length_b 8.060
_cell_length_c 11.053
_cell_angle_alpha 90.00
_cell_angle_beta 90.00
_cell_angle_gamma 90.00
loop_
_space_group_symop_operation_xyz
'x,y,z'
'-x,-y,z'
'-x,y,z'
'x,-y,z'
'x,y+1/2,z+1/2'
'-x,-y+1/2,z+1/2'
'-x,y+1/2,z+1/2'
'x,-y+1/2,z+1/2'
loop_
_atom_site_label
_atom_site_type_symbol
_atom_site_fract_x
_atom_site_fract_y
_atom_site_fract_z
Dy1 Dy 0.000 0.000 0.000
Er1 Er 0.000 0.204 0.720
Er2 Er 0.232 0.000 0.209
Er3 Er 0.250 0.209 0.929
Er4 Er 0.269 0.000 0.650
Er5 Er 0.500 0.000 0.410
Er6 Er 0.500 0.000 0.859
Er7 Er 0.500 0.205 0.138
Tm1 Tm 0.000 0.000 0.448
# formation energy	93	kJ/mol of formula units
# D(E_F)	30.12	states/eV/f.u.


# 15
# PBE CaAs2Ir, optimized geometry
data_CaAs2Ir
_space_group_name_H-M_alt 'F -4 3 m'
_space_group_IT_number 216
_space_group_name_Hall 'F -4 2 3'
_cell_length_a 6.718
_cell_length_b 6.718
_cell_length_c 6.718
_cell_angle_alpha 90.00
_cell_angle_beta 90.00
_cell_angle_gamma 90.00
loop_
_atom_site_label
_atom_site_type_symbol
_atom_site_fract_x
_atom_site_fract_y
_atom_site_fract_z
Ca1 Ca 0.000 0.000 0.000
As1 As 0.000 0.000 0.500
As2 As 0.250 0.250 0.250
Ir1 Ir 0.250 0.250 0.750
# formation energy	19	kJ/mol of formula units
# D(E_F)	3.27	states/eV/f.u.


# 16
# PBE Hf2InC, optimized geometry
data_Hf2InC
_space_group_name_H-M_alt 'R 3 m'
_space_group_IT_number 160
_space_group_name_Hall 'R 3 -2"'
_cell_length_a 3.3166
_cell_length_b 3.3166
_cell_length_c 22.5065
_cell_angle_alpha 90.00
_cell_angle_beta 90.00
_cell_angle_gamma 120.00
loop_
_atom_site_label
_atom_site_type_symbol
_atom_site_fract_x
_atom_site_fract_y
_atom_site_fract_z
Hf1 Hf 0.0000 0.0000 0.0000
Hf2 Hf 0.0000 0.0000 0.2248
In1 In 0.0000 0.0000 0.7789
C1 C 0.0000 0.0000 0.6112
# formation energy	-266	kJ/mol of formula units
# ΔE to the lowest computed polymorph	27	meV/atom
# D(E_F)	1.01	states/eV/f.u.


# 17
# PBE CdFe2H2, optimized geometry
data_CdFe2H2
_space_group_name_H-M_alt 'I 4/m m m'
_space_group_IT_number 139
_space_group_name_Hall '-I 4 2'
_cell_length_a 3.175
_cell_length_b 3.175
_cell_length_c 9.719
_cell_angle_alpha 90.00
_cell_angle_beta 90.00
_cell_angle_gamma 90.00
loop_
_atom_site_label
_atom_site_type_symbol
_atom_site_fract_x
_atom_site_fract_y
_atom_site_fract_z
Cd1 Cd 0.000 0.000 0.000
Fe1 Fe 0.000 0.000 0.321
H1 H 0.000 0.500 0.250
# uncorrected energy	-24.0	eV/f.u.
# D(E_F)	1.77	states/eV/f.u.


# 18
# PBE Li2CaNd, optimized geometry
data_Li2CaNd
_space_group_name_H-M_alt 'F m -3 m'
_space_group_IT_number 225
_space_group_name_Hall '-F 4 2 3'
_cell_length_a 7.734
_cell_length_b 7.734
_cell_length_c 7.734
_cell_angle_alpha 90.00
_cell_angle_beta 90.00
_cell_angle_gamma 90.00
loop_
_atom_site_label
_atom_site_type_symbol
_atom_site_fract_x
_atom_site_fract_y
_atom_site_fract_z
Li1 Li 0.250 0.250 0.250
Ca1 Ca 0.000 0.000 0.000
Nd1 Nd 0.000 0.000 0.500
# formation energy	40	kJ/mol of formula units
# ΔE to the lowest computed polymorph	16	meV/atom
# D(E_F)	4.24	states/eV/f.u.


# 19
# PBE PuCu2As2, optimized geometry
data_PuCu2As2
_space_group_name_H-M_alt 'C m c m'
_space_group_IT_number 63
_space_group_name_Hall '-C 2c 2'
_cell_length_a 3.935
_cell_length_b 22.683
_cell_length_c 3.931
_cell_angle_alpha 90.00
_cell_angle_beta 90.00
_cell_angle_gamma 90.00
loop_
_atom_site_label
_atom_site_type_symbol
_atom_site_fract_x
_atom_site_fract_y
_atom_site_fract_z
Pu1 Pu 0.000 0.149 0.250
Cu1 Cu 0.000 0.036 0.750
Cu2 Cu 0.000 0.464 0.750
As1 As 0.000 0.250 0.750
As2 As 0.000 0.395 0.250
# formation energy	-226	kJ/mol of formula units
# D(E_F)	9.06	states/eV/f.u.


# 20
# PBE Hf4Nb2Ir, optimized geometry
data_Hf4Nb2Ir
_space_group_name_H-M_alt 'I 4/m m m'
_space_group_IT_number 139
_space_group_name_Hall '-I 4 2'
_cell_length_a 5.071
_cell_length_b 5.071
_cell_length_c 13.251
_cell_angle_alpha 90.00
_cell_angle_beta 90.00
_cell_angle_gamma 90.00
loop_
_atom_site_label
_atom_site_type_symbol
_atom_site_fract_x
_atom_site_fract_y
_atom_site_fract_z
Hf1 Hf 0.000 0.000 0.193
Hf2 Hf 0.000 0.500 0.000
Nb1 Nb 0.000 0.000 0.397
Ir1 Ir 0.000 0.000 0.000
# formation energy	451	kJ/mol of formula units
# D(E_F)	8.73	states/eV/f.u.


# 21
# PBE K2BeGe2, optimized geometry
data_K2BeGe2
_space_group_name_H-M_alt 'P 4/m b m'
_space_group_IT_number 127
_space_group_name_Hall '-P 4 2ab'
_cell_length_a 6.435
_cell_length_b 6.435
_cell_length_c 5.734
_cell_angle_alpha 90.00
_cell_angle_beta 90.00
_cell_angle_gamma 90.00
loop_
_atom_site_label
_atom_site_type_symbol
_atom_site_fract_x
_atom_site_fract_y
_atom_site_fract_z
K1 K 0.175 0.325 0.000
Be1 Be 0.000 0.000 0.500
Ge1 Ge 0.144 0.644 0.500
# formation energy	114	kJ/mol of formula units
# D(E_F)	2.46	states/eV/f.u.


# 22
# PBE ReAgRh2, optimized geometry
data_ReAgRh2
_space_group_name_H-M_alt 'F -4 3 m'
_space_group_IT_number 216
_space_group_name_Hall 'F -4 2 3'
_cell_length_a 6.244
_cell_length_b 6.244
_cell_length_c 6.244
_cell_angle_alpha 90.00
_cell_angle_beta 90.00
_cell_angle_gamma 90.00
loop_
_atom_site_label
_atom_site_type_symbol
_atom_site_fract_x
_atom_site_fract_y
_atom_site_fract_z
Re1 Re 0.000 0.000 0.000
Ag1 Ag 0.250 0.250 0.250
Rh1 Rh 0.000 0.000 0.500
Rh2 Rh 0.250 0.250 0.750
# formation energy	234	kJ/mol of formula units
# ΔE to the lowest computed polymorph	611	meV/atom
# D(E_F)	6.23	states/eV/f.u.


# 23
# PBE AgIrW4, optimized geometry
data_AgIrW4
_space_group_name_H-M_alt 'F -4 3 m'
_space_group_IT_number 216
_space_group_name_Hall 'F -4 2 3'
_cell_length_a 7.412
_cell_length_b 7.412
_cell_length_c 7.412
_cell_angle_alpha 90.00
_cell_angle_beta 90.00
_cell_angle_gamma 90.00
loop_
_atom_site_label
_atom_site_type_symbol
_atom_site_fract_x
_atom_site_fract_y
_atom_site_fract_z
Ag1 Ag 0.000 0.000 0.000
Ir1 Ir 0.250 0.250 0.250
W1 W 0.126 0.126 0.626
# formation energy	348	kJ/mol of formula units
# D(E_F)	6.65	states/eV/f.u.